Density functional theory data (PBE) for a relaxed PuMg3 crystal.

Cell and atoms, written as POSCAR:
```
PuMg3
1.0
4.706 0.000 0.000
0.000 4.706 0.000
0.000 0.000 4.706
Mg Pu
3 1
Direct
0.000 0.500 0.500
0.500 0.500 0.000
0.500 0.000 0.500
0.000 0.000 0.000
```

Computed properties:
V in Å³ per atom: 26.048

Density functional theory data (PBE) for a relaxed La6Sm5Dy crystal.

Cell and atoms, written as POSCAR:
```
La6Sm5Dy
1.0
-2.312 -2.897 -5.211
7.407 1.773 -2.980
3.670 -6.526 3.291
La Sm Dy
6 5 1
Direct
0.249 0.416 0.083
0.751 0.917 0.584
0.751 0.249 0.249
0.751 0.584 0.917
0.249 0.083 0.416
0.249 0.751 0.751
0.000 0.333 0.667
0.500 0.166 0.834
0.500 0.500 0.500
0.500 0.834 0.166
0.000 0.667 0.333
0.000 0.000 0.000
```

Computed properties:
V in Å³ per atom: 34.966
Distance to the lowest polymorph of the same formula in meV per atom: 0.0

Density functional theory data (PBE) for a relaxed RuPb2 crystal.

Cell and atoms, written as POSCAR:
```
RuPb2
1.0
-5.421 -1.535 -3.861
-2.794 -3.350 5.255
-1.544 2.888 1.020
Pb Ru
4 2
Direct
0.279 0.721 0.000
0.721 0.279 0.000
0.221 0.221 0.500
0.779 0.779 0.500
0.500 0.500 0.500
0.000 0.000 0.000
```

Computed properties:
V in Å³ per atom: 26.669

Number 1: E_form 189 meV/atom, D(E_F) 11.87 states/eV/cell. Number 2: E_form 10 meV/atom, D(E_F) 17.85 states/eV/cell. Number 3: E_form 263 meV/atom, D(E_F) 1.56 states/eV/cell.